Record 1
A plane-wave DFT calculation with PBE-GGA was carried out for crystalline SnHPt3 at its relaxed geometry.

abc: 5.0143 5.0143 5.0143
angles: 90.00 90.00 90.00
Each line ends with the local moment (μB).
Positions (direct):
H: 0.5000 0.5000 0.5000  0.35
Sn: 0.0000 0.0000 0.0000  0.00
Pt: 0.0000 0.5000 0.0000  0.03
Pt: 0.0000 0.0000 0.5000  0.03
Pt: 0.5000 0.0000 0.0000  0.06

Properties
The relative energy among the computed polymorphs is 1.6218 eV/atom. The calculated density is 9.28 g/cm³. The calculation puts the calculated volume at 25.22 Å³ per atom. The space-group type is Pm-3m. For the density of states at the Fermi level, the calculation gives 0.618 states/eV/atom.

=====

Record 2
A plane-wave DFT calculation with PBE-GGA was carried out for crystalline PmTiCuSi at its relaxed geometry.

abc: 4.7520 4.7520 4.7520
angles: 60.00 60.00 60.00
Each line ends with the local moment (μB).
Positions (direct):
Si: 0.5000 0.5000 0.5000  -0.03
Ti: 0.2500 0.2500 0.2500  1.07
Cu: 0.0000 0.0000 0.0000  0.03
Pm: 0.7500 0.7500 0.7500  0.12

Properties
The calculated density is 6.23 g/cm³. The calculation puts the calculated volume at 18.97 Å³ per atom. The space-group type is F-43m. The total energy comes out at -5.726 eV per atom. For the density of states at the Fermi level, the calculation gives 0.979 states/eV/atom.